VASP calculation (GGA-PBE) on Zn2TePd8 after structural relaxation.

Cell lengths 4.521, 5.797, 7.767 Å; angles 111.91, 106.92, 90.00 degrees
Fractional positions:
Pd (0.177, 0.177, 0.354)
Pd (0.348, 0.585, 0.695)
Pd (0.000, 0.736, 0.000)
Pd (0.652, 0.415, 0.305)
Pd (0.652, 0.890, 0.305)
Pd (0.348, 0.110, 0.695)
Pd (0.823, 0.823, 0.646)
Pd (0.000, 0.264, 0.000)
Zn (0.819, 0.319, 0.638)
Zn (0.181, 0.681, 0.362)
Te (0.500, 0.000, 0.000)

Output
VASP energy = -4.594 eV/atom
ΔE_f (raw) = -0.300 eV per atom